Entry 1:
Pm3Cu2Sn7, optimized geometry, DFT GGA-PBE; uncorrected energy = -4.646 eV/atom; magnetic moment = 0.00 μB/cell; space-group type = No. 65; DFT formation energy = -0.440 eV/atom
1.0
4.4264 0.0000 0.0000
0.0000 4.7474 0.0000
0.0000 -2.3737 14.3049
Pm Cu Sn
3 2 7
direct
0.5000 0.5000 0.0000
0.5000 0.6795 0.3591
0.5000 0.3205 0.6409
0.0000 0.8632 0.7264
0.0000 0.1368 0.2736
0.0000 0.4114 0.8229
0.0000 0.7765 0.5530
0.0000 0.0000 0.0000
0.0000 0.5886 0.1771
0.5000 0.0867 0.1734
0.5000 0.9133 0.8266
0.0000 0.2235 0.4470

***

Entry 2:
Ba6Ga3O, optimized geometry, DFT GGA-PBE; uncorrected energy = -3.208 eV/atom; magnetic moment = 0.00 μB/cell; space-group type = No. 36
1.0
7.8475 0.0000 0.0000
0.0000 10.6294 -0.8481
0.0000 -3.1987 10.1721
Ba Ga O
12 6 2
direct
0.2224 0.7042 0.6710
0.7224 0.6710 0.7042
0.1969 0.4358 0.8844
0.6969 0.8844 0.4358
0.0125 0.0802 0.9198
0.7079 0.2658 0.7342
0.2079 0.7342 0.2658
0.5125 0.9198 0.0802
0.1969 0.1156 0.5642
0.6969 0.5642 0.1156
0.2224 0.3290 0.2958
0.7224 0.2958 0.3290
0.4912 0.0015 0.7828
0.9912 0.7828 0.0015
0.4256 0.4098 0.5902
0.9256 0.5902 0.4098
0.9912 0.9985 0.2172
0.4912 0.2172 0.9985
0.0184 0.2279 0.7721
0.5184 0.7721 0.2279

***

Entry 3:
RbAl2GeAs, optimized geometry, DFT GGA-PBE; uncorrected energy = -1.853 eV/atom; magnetic moment = 0.00 μB/cell; space-group type = No. 123; DFT formation energy = 1.691 eV/atom
1.0
5.7109 0.0000 0.0000
0.0000 5.7109 0.0000
0.0000 0.0000 5.7127
As Ge Rb Al
1 1 1 2
direct
0.0000 0.0000 0.5000
0.5000 0.5000 0.5000
0.0000 0.0000 0.0000
0.0000 0.5000 0.0000
0.5000 0.0000 0.0000

***

Entry 4:
YCo2Br, optimized geometry, DFT GGA-PBE; uncorrected energy = -5.882 eV/atom; magnetic moment = 2.64 μB/cell; space-group type = No. 8
1.0
-2.5571 0.4830 2.8428
-3.7420 -0.6668 -0.6378
0.8150 -6.3667 1.8257
Br Co Y
1 2 1
direct
0.1256 0.1256 0.2582
0.1246 0.1246 0.8759
0.7914 0.7914 0.8064
0.4584 0.4584 0.5595

***

Entry 5:
VPdSN2, optimized geometry, DFT GGA-PBE; uncorrected energy = -5.473 eV/atom; magnetic moment = 0.00 μB/cell; space-group type = No. 123
1.0
3.8592 0.0000 0.0000
0.0000 3.8592 0.0000
0.0000 0.0000 4.7386
S N Pd V
1 2 1 1
direct
0.0000 0.0000 0.5000
0.0000 0.5000 0.0000
0.5000 0.0000 0.0000
0.0000 0.0000 0.0000
0.5000 0.5000 0.5000

***

Entry 6:
TmGa2Pd8, optimized geometry, DFT GGA-PBE; uncorrected energy = -5.291 eV/atom; magnetic moment = 0.00 μB/cell; space-group type = No. 12; DFT formation energy = -0.558 eV/atom
1.0
4.6111 -0.1860 -0.2792
-1.0374 6.7273 -0.2127
-1.0374 -2.7873 6.1264
Tm Ga Pd
1 2 8
direct
0.5000 0.0000 0.0000
0.0000 0.3132 0.6868
0.0000 0.6868 0.3132
0.8945 0.9196 0.6772
0.8945 0.6772 0.9196
0.3131 0.6026 0.6026
0.5000 0.7627 0.2373
0.5000 0.2373 0.7627
0.6869 0.3974 0.3974
0.1055 0.3228 0.0804
0.1055 0.0804 0.3228

***

Entry 7:
TePdF6, optimized geometry, DFT GGA-PBE; uncorrected energy = -4.138 eV/atom; magnetic moment = 1.98 μB/cell; space-group type = No. 148
1.0
5.4999 0.0085 0.0066
2.7452 4.7651 0.0094
2.7415 1.5839 5.0657
Te Pd F
1 1 6
direct
0.0000 0.0000 0.0000
0.5000 0.5000 0.5000
0.1162 0.3678 0.7596
0.7557 0.1166 0.7599
0.6323 0.2442 0.2403
0.2443 0.8834 0.2401
0.8838 0.6322 0.2404
0.3677 0.7558 0.7597

***

Entry 8:
TlGeO, optimized geometry, DFT GGA-PBE; uncorrected energy = -4.492 eV/atom; magnetic moment = 0.00 μB/cell; space-group type = No. 8
1.0
3.1750 -0.2664 0.3594
-1.3340 2.8934 -0.3594
-0.1360 -1.8633 13.8292
O Ge Tl
2 2 2
direct
0.9119 0.0814 0.9932
0.2467 0.2465 0.4932
0.5778 0.3432 0.9209
0.5792 0.8417 0.4209
0.9135 0.2823 0.1958
0.2509 0.4450 0.6959